Material: Li2SbAu6
Method: DFT, PBE
State: optimized geometry Values from VASP.

```
&SYSTEM
  ibrav = 0, nat = 9, ntyp = 3
/
ATOMIC_SPECIES
Li 6.94 Li.upf
Sb 121.76 Sb.upf
Au 196.97 Au.upf
ATOMIC_POSITIONS crystal
Li 0.1788 0.1788 0.2384
Li 0.8212 0.8212 0.7616
Sb 0.5000 0.5000 0.0000
Au 0.1639 0.1639 0.8863
Au 0.1662 0.1662 0.5532
Au 0.4957 0.4957 0.6655
Au 0.5043 0.5043 0.3345
Au 0.8338 0.8338 0.4468
Au 0.8361 0.8361 0.1137
CELL_PARAMETERS angstrom
4.5340 -2.1353 0.0000
4.5340 2.1353 0.0000
-2.4467 0.0000 8.3243
```

Uncorrected formation energy: -0.292 eV per atom
Relative energy among the computed polymorphs: 0 meV/atom



Material: Li10SbAu6
Method: DFT, PBE
State: optimized geometry Values from VASP.

```
&SYSTEM
  ibrav = 0, nat = 17, ntyp = 3
/
ATOMIC_SPECIES
Li 6.94 Li.upf
Sb 121.76 Sb.upf
Au 196.97 Au.upf
ATOMIC_POSITIONS crystal
Li 0.0000 0.2996 0.3206
Li 0.0000 0.7004 0.6794
Li 0.2996 0.0000 0.3206
Li 0.2996 0.2996 0.6794
Li 0.3333 0.6667 0.0000
Li 0.3333 0.6667 0.5000
Li 0.6667 0.3333 0.0000
Li 0.6667 0.3333 0.5000
Li 0.7004 0.0000 0.6794
Li 0.7004 0.7004 0.3206
Sb 0.0000 0.0000 0.0000
Au 0.0000 0.3674 0.8076
Au 0.0000 0.6326 0.1924
Au 0.3674 0.0000 0.8076
Au 0.3674 0.3674 0.1924
Au 0.6326 0.0000 0.1924
Au 0.6326 0.6326 0.8076
CELL_PARAMETERS angstrom
7.7332 0.0000 0.0000
-3.8666 6.6971 0.0000
0.0000 0.0000 5.5095
```

Uncorrected formation energy: -0.470 eV per atom